# 1
Computed, not measured: an optimized crystal structure of TeRuPb3 at the PBE level of DFT.

abc: 5.2963 5.2963 5.2963
angles: 90.00 90.00 90.00
Fractional coordinates of all 5 atoms:
Pb1 0.5000 0.0000 0.0000
Te1 0.5000 0.5000 0.5000
Ru1 0.0000 0.0000 0.0000
Pb2 0.0000 0.0000 0.5000
Pb3 0.0000 0.5000 0.0000

## Properties
Excess energy over the best structure of this formula in the dataset, eV per formula unit: 0.00
Raw formation energy, eV/atom: 0.01
Symmetry: Pm-3m, No. 221
Total magnetization, μB/cell: 0.00
Total DFT energy (no corrections), eV per cell: -23.5
Theoretical density, kg/m3: 9504

---

# 2
Computed, not measured: an optimized crystal structure of TeRuPb2 at the PBE level of DFT.

abc: 3.3822 4.3908 7.4881
angles: 72.72 90.00 90.00
Fractional coordinates of all 4 atoms:
Ru1 0.0000 0.7182 0.4384
Pb1 0.0000 0.9290 0.0145
Te1 0.5000 0.5789 0.7189
Pb2 0.5000 0.2738 0.3282

## Properties
Raw formation energy, eV/atom: 0.18
Symmetry: Pm, No. 6
Total magnetization, μB/cell: 0.00
Total DFT energy (no corrections), eV per cell: -19.1
Theoretical density, kg/m3: 10056

---

# 3
Computed, not measured: an optimized crystal structure of TeRuPb2 at the PBE level of DFT.

abc: 6.5529 6.5529 8.0973
angles: 66.13 66.13 90.00
Fractional coordinates of all 8 atoms:
Te1 0.7500 0.2500 0.5000
Pb1 0.5605 0.1250 0.2500
Te2 0.0000 0.0000 0.0000
Ru1 0.5000 0.5000 0.0000
Pb2 0.8750 0.8105 0.7500
Ru2 0.2500 0.7500 0.5000
Pb3 0.1895 0.6250 0.2500
Pb4 0.3750 0.4395 0.7500

## Properties
Raw formation energy, eV/atom: 0.53
Symmetry: I-42d, No. 122
Total magnetization, μB/cell: 0.00
Total DFT energy (no corrections), eV per cell: -35.4
Theoretical density, kg/m3: 7490

---

# 4
Computed, not measured: an optimized crystal structure of TeRuPb2 at the PBE level of DFT.

abc: 3.3015 3.3015 9.3977
angles: 90.00 90.00 90.00
Fractional coordinates of all 4 atoms:
Pb1 0.5000 0.5000 0.3030
Pb2 0.0000 0.0000 0.9953
Ru1 0.0000 0.0000 0.5284
Te1 0.5000 0.5000 0.6733

## Properties
Raw formation energy, eV/atom: 0.12
Symmetry: P4mm, No. 99
Total magnetization, μB/cell: 0.51
Total DFT energy (no corrections), eV per cell: -19.4
Theoretical density, kg/m3: 10425

---

# 5
Computed, not measured: an optimized crystal structure of TeRuPb2 at the PBE level of DFT.

abc: 5.1495 5.1495 5.1495
angles: 60.00 60.00 60.00
Fractional coordinates of all 4 atoms:
Ru1 0.5000 0.5000 0.5000
Te1 0.7500 0.7500 0.7500
Pb1 0.0000 0.0000 0.0000
Pb2 0.2500 0.2500 0.2500

## Properties
Raw formation energy, eV/atom: 0.52
Symmetry: F-43m, No. 216
Total magnetization, μB/cell: 0.00
Total DFT energy (no corrections), eV per cell: -17.8
Theoretical density, kg/m3: 11059

---

# 6
Computed, not measured: an optimized crystal structure of TeRuPb2 at the PBE level of DFT.

abc: 4.7944 3.9852 5.1646
angles: 90.00 90.00 90.00
Fractional coordinates of all 4 atoms:
Pb1 0.0000 0.0000 0.0000
Ru1 0.5000 0.0000 0.5000
Te1 0.0000 0.5000 0.5000
Pb2 0.5000 0.5000 0.0000

## Properties
Raw formation energy, eV/atom: 0.57
Symmetry: Pmmm, No. 47
Total magnetization, μB/cell: 0.49
Total DFT energy (no corrections), eV per cell: -17.5
Theoretical density, kg/m3: 10821

---

Copy entry 6 word for word.
Computed, not measured: an optimized crystal structure of TeRuPb2 at the PBE level of DFT.

abc: 4.7944 3.9852 5.1646
angles: 90.00 90.00 90.00
Fractional coordinates of all 4 atoms:
Pb1 0.0000 0.0000 0.0000
Ru1 0.5000 0.0000 0.5000
Te1 0.0000 0.5000 0.5000
Pb2 0.5000 0.5000 0.0000

## Properties
Raw formation energy, eV/atom: 0.57
Symmetry: Pmmm, No. 47
Total magnetization, μB/cell: 0.49
Total DFT energy (no corrections), eV per cell: -17.5
Theoretical density, kg/m3: 10821